# SCAN SrMnIn2, PBEsol geometry
# * size of the total moment: 4.38 μB per cell
# * mass density: 6.27 Mg/m³
# * uncorrected energy: -1.9834 Ry/atom
data_SrMnIn2
_chemical_formula_sum 'Sr1 Mn1 In2'
_symmetry_space_group_name_H-M 'P 1'
_symmetry_Int_Tables_number 1
_cell_length_a 4.586
_cell_length_b 4.586
_cell_length_c 4.688
_cell_angle_alpha 90.00
_cell_angle_beta 90.00
_cell_angle_gamma 90.00
loop_
_symmetry_equiv_pos_as_xyz
'x,y,z'
loop_
_atom_site_label
_atom_site_type_symbol
_atom_site_fract_x
_atom_site_fract_y
_atom_site_fract_z
Sr1 Sr 0.000 0.000 0.000
Mn1 Mn 0.500 0.500 0.000
In1 In 0.000 0.500 0.500
In2 In 0.500 0.000 0.500